(1)
Pa2CrGa4Ge2 | PBE | relaxed

Values from the calculation:
The total magnetization is 0.3120 μB/atom. The total DFT energy (no corrections) comes out at -5.87 eV per atom.

Lattice parameters (Å, degrees): 6.1644 6.1644 8.8257 90.00 90.00 90.00
Last column: nearest neighbours and their distance in Å.
Space group I4/mmm (No. 139)
Unique sites:
Pa 0.0000 0.5000 0.2500 x4  4 Ge 3.09, 8 Ga 3.11
Cr 0.0000 0.0000 0.0000 x2  2 Ge 2.46, 4 Ga 2.46
Ga 0.2178 0.2178 0.5000 x8  1 Cr 2.46, 2 Ga 2.69, 2 Ge 2.73
Ge 0.0000 0.0000 0.2783 x4  1 Cr 2.46, 4 Ga 2.73

=====

(2)
CrGaRe2Ge | PBE | relaxed

Values from the calculation:
The total magnetization is 0.4225 μB/atom. The total DFT energy (no corrections) comes out at -6.76 eV per atom.

Lattice parameters (Å, degrees): 4.5903 4.5903 4.4689 90.00 90.00 90.00
Last column: nearest neighbours and their distance in Å.
Space group P4/mmm (No. 123)
Unique sites:
Cr 0.0000 0.0000 0.0000 x1  2 Ga 2.23
Ga 0.0000 0.0000 0.5000 x1  2 Cr 2.23, 4 Re 2.30
Re 0.0000 0.5000 0.5000 x2  2 Ga 2.30
Ge 0.5000 0.5000 0.0000 x1  8 Re 3.20, 4 Cr 3.25

=====

(3)
CrGaGeRh | PBE | relaxed

Values from the calculation:
The total magnetization is 0.5614 μB/atom. The total DFT energy (no corrections) comes out at -6.33 eV per atom.

Lattice parameters (Å, degrees): 6.1107 6.1107 6.1107 90.00 90.00 90.00
Last column: nearest neighbours and their distance in Å.
Space group F-43m (No. 216)
Unique sites:
Cr 0.0000 0.0000 0.0000 x4  4 Ga 2.65, 4 Ge 2.65
Ga 0.2500 0.2500 0.2500 x4  4 Cr 2.65, 4 Rh 2.65
Ge 0.2500 0.2500 0.7500 x4  4 Cr 2.65, 4 Rh 2.65
Rh 0.0000 0.0000 0.5000 x4  4 Ge 2.65, 4 Ga 2.65

=====

(4)
CrGaGeRu2 | PBE | relaxed

Values from the calculation:
The total magnetization is 0.0365 μB/atom. The total DFT energy (no corrections) comes out at -5.76 eV per atom.

Lattice parameters (Å, degrees): 4.4950 4.4950 4.5485 90.00 90.00 90.00
Last column: nearest neighbours and their distance in Å.
Space group P4/mmm (No. 123)
Unique sites:
Cr 0.0000 0.0000 0.0000 x1  4 Ga 3.18, 8 Ru 3.20
Ga 0.5000 0.5000 0.0000 x1  2 Ge 2.27
Ge 0.5000 0.5000 0.5000 x1  4 Ru 2.25, 2 Ga 2.27
Ru 0.0000 0.5000 0.5000 x2  2 Ge 2.25

=====

(5)
SrCrGaGe2 | PBE | relaxed

Values from the calculation:
The total magnetization is 0.0000 μB/atom. The total DFT energy (no corrections) comes out at -4.94 eV per atom.

Lattice parameters (Å, degrees): 4.7069 4.7069 4.7547 90.00 90.00 90.00
Last column: nearest neighbours and their distance in Å.
Space group P4/mmm (No. 123)
Unique sites:
Sr 0.0000 0.0000 0.0000 x1  4 Ga 3.33, 8 Ge 3.35
Cr 0.5000 0.5000 0.5000 x1  4 Ge 2.35, 2 Ga 2.38
Ga 0.5000 0.5000 0.0000 x1  2 Cr 2.38
Ge 0.0000 0.5000 0.5000 x2  2 Cr 2.35

=====

(6)
CrGaH3 | PBE | relaxed

Values from the calculation:
The total magnetization is 0.5891 μB/atom. Its relative energy among the computed polymorphs is 0 meV per atom.

Lattice parameters (Å, degrees): 3.5266 3.5266 3.5266 90.00 90.00 90.00
Last column: nearest neighbours and their distance in Å.
Space group Pm-3m (No. 221)
Unique sites:
Cr 0.0000 0.0000 0.0000 x1  6 H 1.76
Ga 0.5000 0.5000 0.5000 x1  12 H 2.49
H 0.0000 0.0000 0.5000 x3  2 Cr 1.76

=====

(7)
CrGaH2 | PBE | relaxed

Values from the calculation:
The total magnetization is 0.4873 μB/atom. Its relative energy among the computed polymorphs is 0 meV per atom.

Lattice parameters (Å, degrees): 2.9093 2.9093 14.0839 90.00 90.00 120.00
Last column: nearest neighbours and their distance in Å.
Space group R-3m (No. 166, hexagonal axes)
Unique sites:
Cr 0.0000 0.0000 0.0000 x3  6 H 1.78
Ga 0.0000 0.0000 0.5000 x3  6 H 2.43
H 0.0000 0.0000 0.2912 x6  3 Cr 1.78

=====

(8)
Cr2Ga2H | PBE | relaxed

Values from the calculation:
The total magnetization is 0.0000 μB/atom. Its relative energy among the computed polymorphs is 718 meV per atom.

Lattice parameters (Å, degrees): 3.4905 3.4905 11.6470 90.00 90.00 90.00
Last column: nearest neighbours and their distance in Å.
Space group I4/mmm (No. 139)
Unique sites:
Cr 0.0000 0.0000 0.0792 x4  1 Cr 1.85
Ga 0.0000 0.5000 0.2500 x4  4 Ga 2.47, 4 Cr 2.65
H 0.0000 0.0000 0.5000 x2  8 Cr 2.64

=====

(9)
CrGaH2 | PBE | relaxed

Values from the calculation:
The total magnetization is 0.6588 μB/atom. Its relative energy among the computed polymorphs is 532 meV per atom.

Lattice parameters (Å, degrees): 5.1974 5.1974 5.1974 90.00 90.00 90.00
Last column: nearest neighbours and their distance in Å.
Space group Fm-3m (No. 225)
Unique sites:
Cr 0.0000 0.0000 0.0000 x4  8 H 2.25
Ga 0.0000 0.0000 0.5000 x4  8 H 2.25
H 0.2500 0.2500 0.2500 x8  4 Ga 2.25, 4 Cr 2.25

=====

(10)
Cr6Ga2H | PBE | relaxed

Values from the calculation:
The total magnetization is 0.0000 μB/atom. The total DFT energy (no corrections) comes out at -7.12 eV per atom.

Lattice parameters (Å, degrees): 6.7933 11.5595 2.7707 90.00 90.00 90.00
Last column: nearest neighbours and their distance in Å.
Space group Cmmm (No. 65)
Unique sites:
Cr 0.1667 0.1731 0.0000 x8  2 Cr 2.11-2.27, 1 H 2.30
Cr 0.1762 0.0000 0.5000 x4  2 H 1.83
Ga 0.0000 0.3608 0.5000 x4  10 Cr 2.68-2.81, 2 Ga 2.77
H 0.0000 0.0000 0.0000 x2  4 Cr 1.83

=====

(11)
CrGa3H | PBE | relaxed

Values from the calculation:
The total magnetization is 0.7040 μB/atom. Its relative energy among the computed polymorphs is 463 meV per atom.

Lattice parameters (Å, degrees): 4.8108 4.8108 4.8108 90.00 90.00 90.00
Last column: nearest neighbours and their distance in Å.
Space group Pm-3m (No. 221)
Unique sites:
Cr 0.0000 0.0000 0.0000 x1  6 Ga 2.41
Ga 0.0000 0.0000 0.5000 x3  2 Cr 2.41
H 0.5000 0.5000 0.5000 x1  12 Ga 3.40

=====

(12)
CrGaH3 | PBE | relaxed

Values from the calculation:
The total magnetization is 0.9499 μB/atom. Its relative energy among the computed polymorphs is 425 meV per atom.

Lattice parameters (Å, degrees): 3.6935 3.6935 3.6935 90.00 90.00 90.00
Last column: nearest neighbours and their distance in Å.
Space group Pm-3m (No. 221)
Unique sites:
Cr 0.0000 0.0000 0.0000 x1  12 H 2.61
Ga 0.5000 0.5000 0.5000 x1  6 H 1.85
H 0.0000 0.5000 0.5000 x3  2 Ga 1.85

=====

(13)
Cr2Ga2H | PBE | relaxed

Values from the calculation:
The total magnetization is 0.0000 μB/atom. Its relative energy among the computed polymorphs is 0 meV per atom.

Lattice parameters (Å, degrees): 5.2956 5.2956 4.2152 90.00 90.00 90.00
Last column: nearest neighbours and their distance in Å.
Space group P4/mbm (No. 127)
Unique sites:
Cr 0.1487 0.3513 0.0000 x4  2 H 2.02, 1 Cr 2.23
Ga 0.1690 0.6690 0.5000 x4  6 Cr 2.51-2.70, 5 Ga 2.53-2.78
H 0.0000 0.0000 0.0000 x2  4 Cr 2.02

=====

(14)
CrGaH2 | PBE | relaxed

Values from the calculation:
The total magnetization is 0.5496 μB/atom. Its relative energy among the computed polymorphs is 206 meV per atom.

Lattice parameters (Å, degrees): 3.9268 3.9268 9.6258 90.00 90.00 90.00
Last column: nearest neighbours and their distance in Å.
Space group I-42d (No. 122)
Unique sites:
Cr 0.0000 0.0000 0.0000 x4  4 H 1.68
Ga 0.0000 0.0000 0.5000 x4  4 H 2.03
H 0.1664 0.2500 0.1250 x8  2 Cr 1.68

=====

(15)
CrGaH2 | PBE | relaxed

Values from the calculation:
The total magnetization is 0.4864 μB/atom. Its relative energy among the computed polymorphs is 9 meV per atom.

Lattice parameters (Å, degrees): 2.9539 2.9539 14.2220 90.00 90.00 120.00
Last column: nearest neighbours and their distance in Å.
Space group R3m (No. 160, hexagonal axes)
Unique sites:
Cr 0.0000 0.0000 0.0000 x3  6 H 1.72-1.85
Ga 0.0000 0.0000 0.1859 x3  4 H 2.57-2.82, 4 Cr 2.64-2.70
H 0.0000 0.0000 0.3839 x3  3 H 1.77, 3 Cr 1.85
H 0.0000 0.0000 0.6831 x3  3 Cr 1.72, 3 H 1.77

=====

(16)
CrGa2H6 | PBE | relaxed

Values from the calculation:
The total magnetization is 0.0181 μB/atom. The total DFT energy (no corrections) comes out at -3.79 eV per atom.

Lattice parameters (Å, degrees): 6.3621 6.3621 6.3621 90.00 90.00 90.00
Last column: nearest neighbours and their distance in Å.
Space group Fm-3m (No. 225)
Unique sites:
Cr 0.0000 0.0000 0.0000 x4  6 H 1.64
Ga 0.2500 0.2500 0.2500 x8  12 H 2.25
H 0.0000 0.0000 0.2579 x24  1 Cr 1.64

=====

(17)
CrGa3H | PBE | relaxed

Values from the calculation:
The total magnetization is 0.4356 μB/atom. Its relative energy among the computed polymorphs is 0 meV per atom.

Lattice parameters (Å, degrees): 4.0262 4.0262 4.0262 90.00 90.00 90.00
Last column: nearest neighbours and their distance in Å.
Space group Pm-3m (No. 221)
Unique sites:
Cr 0.0000 0.0000 0.0000 x1  12 Ga 2.85
Ga 0.0000 0.5000 0.5000 x3  2 H 2.01
H 0.5000 0.5000 0.5000 x1  6 Ga 2.01

=====

(18)
CrGa2HgH | PBE | relaxed

Values from the calculation:
The total magnetization is 0.7989 μB/atom. The total DFT energy (no corrections) comes out at -3.17 eV per atom.

Lattice parameters (Å, degrees): 5.3450 5.3450 3.4022 90.00 90.00 90.00
Last column: nearest neighbours and their distance in Å.
Space group P4/mmm (No. 123)
Unique sites:
Cr 0.0000 0.0000 0.0000 x1  8 Ga 3.17, 2 Cr 3.40
Ga 0.0000 0.5000 0.5000 x2  2 Hg 2.67
Hg 0.5000 0.5000 0.5000 x1  2 H 1.70
H 0.5000 0.5000 0.0000 x1  2 Hg 1.70

=====

(19)
CrGaHIr2 | PBE | relaxed

Values from the calculation:
The total magnetization is 0.6666 μB/atom. The total DFT energy (no corrections) comes out at -6.86 eV per atom.

Lattice parameters (Å, degrees): 4.0029 4.0029 3.7284 90.00 90.00 90.00
Last column: nearest neighbours and their distance in Å.
Space group P4/mmm (No. 123)
Unique sites:
Cr 0.0000 0.0000 0.0000 x1  2 H 1.86
Ga 0.5000 0.5000 0.0000 x1  8 Ir 2.74, 4 Cr 2.83
H 0.0000 0.0000 0.5000 x1  2 Cr 1.86, 4 Ir 2.00
Ir 0.0000 0.5000 0.5000 x2  2 H 2.00

=====

(20)
CrGa2HIr | PBE | relaxed

Values from the calculation:
The total magnetization is 0.4880 μB/atom. The total DFT energy (no corrections) comes out at -5.60 eV per atom.

Lattice parameters (Å, degrees): 4.1895 4.1895 3.4037 90.00 90.00 90.00
Last column: nearest neighbours and their distance in Å.
Space group P4/mmm (No. 123)
Unique sites:
Cr 0.0000 0.0000 0.0000 x1  2 H 1.70
Ga 0.0000 0.5000 0.5000 x2  2 H 2.09
H 0.0000 0.0000 0.5000 x1  2 Cr 1.70
Ir 0.5000 0.5000 0.0000 x1  8 Ga 2.70, 4 Cr 2.96

=====

no.,calculated volume (Å³/cell)
1,335.4
2,94.2
3,228.2
4,91.9
5,105.3
6,43.9
7,103.2
8,141.9
9,140.4
10,217.6
11,111.3
12,50.4
13,118.2
14,148.4
15,107.5
16,257.5
17,65.3
18,97.2
19,59.7
20,59.7